No. 1
A plane-wave DFT calculation with PBE was carried out for LiTb2Ga after structural relaxation.

For the formation energy, the calculation gives -0.294 eV per atom. For the calculated volume, the calculation gives 23.80 Å³/atom.

Geometry as CIF:
```
data_LiTb2Ga
_symmetry_space_group_name_H-M 'P 4/m m m'
_symmetry_Int_Tables_number 123
_symmetry_space_group_name_Hall '-P 4 2'
_cell_length_a 5.046
_cell_length_b 5.046
_cell_length_c 3.738
_cell_angle_alpha 90.00
_cell_angle_beta 90.00
_cell_angle_gamma 90.00
loop_
_atom_site_label
_atom_site_type_symbol
_atom_site_fract_x
_atom_site_fract_y
_atom_site_fract_z
Li1 Li 0.000 0.000 0.000
Tb1 Tb 0.000 0.500 0.500
Ga1 Ga 0.500 0.500 0.000
```

---

No. 2
A plane-wave DFT calculation with PBE was carried out for Pr4In2Ga after structural relaxation.

For the formation energy, the calculation gives -0.284 eV per atom. For the calculated volume, the calculation gives 31.92 Å³/atom.

Geometry as CIF:
```
data_Pr4In2Ga
_symmetry_space_group_name_H-M 'C 1 2/m 1'
_symmetry_Int_Tables_number 12
_cell_length_a 18.035
_cell_length_b 3.795
_cell_length_c 6.871
_cell_angle_alpha 90.00
_cell_angle_beta 108.15
_cell_angle_gamma 90.00
loop_
_symmetry_equiv_pos_as_xyz
'x,y,z'
'-x,-y,-z'
'-x,y,-z'
'x,-y,z'
'x+1/2,y+1/2,z'
'-x+1/2,-y+1/2,-z'
'-x+1/2,y+1/2,-z'
'x+1/2,-y+1/2,z'
loop_
_atom_site_label
_atom_site_type_symbol
_atom_site_fract_x
_atom_site_fract_y
_atom_site_fract_z
Pr1 Pr 0.087 0.000 0.450
Pr2 Pr 0.132 0.500 0.983
In1 In 0.241 0.500 0.668
Ga1 Ga 0.000 0.000 0.000
```

---

No. 3
A plane-wave DFT calculation with PBE was carried out for KLaTa2 after structural relaxation.

For the formation energy, the calculation gives 0.554 eV per atom. For the calculated volume, the calculation gives 31.48 Å³/atom.

Geometry as CIF:
```
data_KLaTa2
_symmetry_space_group_name_H-M 'P 4 m m'
_symmetry_Int_Tables_number 99
_cell_length_a 3.514
_cell_length_b 3.514
_cell_length_c 10.195
_cell_angle_alpha 90.00
_cell_angle_beta 90.00
_cell_angle_gamma 90.00
loop_
_symmetry_equiv_pos_as_xyz
'x,y,z'
'-y,x,z'
'-x,-y,z'
'y,-x,z'
'-x,y,z'
'y,x,z'
'x,-y,z'
'-y,-x,z'
loop_
_atom_site_label
_atom_site_type_symbol
_atom_site_fract_x
_atom_site_fract_y
_atom_site_fract_z
K1 K 0.000 0.000 0.000
La1 La 0.500 0.500 0.389
Ta1 Ta 0.000 0.000 0.593
Ta2 Ta 0.500 0.500 0.711
```

---

No. 4
A plane-wave DFT calculation with PBE was carried out for Pa3MnOs after structural relaxation.

For the formation energy, the calculation gives -0.161 eV per atom. For the calculated volume, the calculation gives 21.09 Å³/atom.

Geometry as CIF:
```
data_Pa3MnOs
_symmetry_space_group_name_H-M 'P 1 21/m 1'
_symmetry_Int_Tables_number 11
_cell_length_a 8.078
_cell_length_b 3.639
_cell_length_c 8.229
_cell_angle_alpha 90.00
_cell_angle_beta 119.36
_cell_angle_gamma 90.00
loop_
_symmetry_equiv_pos_as_xyz
'x,y,z'
'-x,-y,-z'
'-x,y+1/2,-z'
'x,-y+1/2,z'
loop_
_atom_site_label
_atom_site_type_symbol
_atom_site_fract_x
_atom_site_fract_y
_atom_site_fract_z
Pa1 Pa 0.086 0.250 0.357
Pa2 Pa 0.296 0.250 0.921
Pa3 Pa 0.412 0.750 0.305
Mn1 Mn 0.120 0.750 0.079
Os1 Os 0.291 0.750 0.651
```

---

> Among the records above, which one has the lowest formation energy?

LiTb2Ga

---

> The lowest calculated volume belongs to which entry?

Pa3MnOs

---

> Look up the calculated volume of the second one.

31.92 Å³/atom